[1]
Crystalline Tb8Er6Sc at its relaxed geometry. Source: the Alexandria database, functional PBE.

Cell: 9.764 9.764 5.723 Å, 90.00 90.00 120.00°
Atoms (fractional coordinates):
Tb (0.051, 0.780, 0.266)
Tb (0.220, 0.272, 0.266)
Tb (0.272, 0.051, 0.734)
Tb (0.333, 0.667, 0.264)
Tb (0.667, 0.333, 0.736)
Tb (0.728, 0.949, 0.266)
Tb (0.780, 0.728, 0.734)
Tb (0.949, 0.220, 0.734)
Er (0.092, 0.621, 0.757)
Er (0.379, 0.471, 0.757)
Er (0.471, 0.092, 0.243)
Er (0.529, 0.908, 0.757)
Er (0.621, 0.529, 0.243)
Er (0.908, 0.379, 0.243)
Sc (0.000, 0.000, 0.000)

The formation energy is 0.149 eV per atom. The magnetic moment comes out at 0.0 μB per formula unit. For the total energy, the calculation gives -4.5677 eV/atom. Its energy above the most stable polymorph in this dataset is 0.025 eV/atom. Its space group is P-3.

***

[2]
Crystalline TbEr12Sc5 at its relaxed geometry. Source: the Alexandria database, functional PBE.

Cell: 7.730 7.730 14.500 Å, 90.00 90.00 143.21°
Atoms (fractional coordinates):
Tb (0.000, 0.000, 0.000)
Er (0.000, 0.000, 0.339)
Er (0.000, 0.000, 0.661)
Er (0.168, 0.832, 0.165)
Er (0.168, 0.832, 0.835)
Er (0.333, 0.667, 0.340)
Er (0.333, 0.667, 0.660)
Er (0.500, 0.500, 0.167)
Er (0.500, 0.500, 0.833)
Er (0.667, 0.333, 0.340)
Er (0.667, 0.333, 0.660)
Er (0.832, 0.168, 0.165)
Er (0.832, 0.168, 0.835)
Sc (0.167, 0.833, 0.500)
Sc (0.331, 0.669, 0.000)
Sc (0.500, 0.500, 0.500)
Sc (0.669, 0.331, 0.000)
Sc (0.833, 0.167, 0.500)

The formation energy is 0.042 eV per atom. The magnetic moment comes out at 0.0 μB per formula unit. For the total energy, the calculation gives -5.0156 eV/atom. Its space group is Cmmm.

***

[3]
Crystalline TbEr8Sc6 at its relaxed geometry. Source: the Alexandria database, functional PBE.

Cell: 7.857 7.857 7.857 Å, 72.62 72.62 72.62°
Atoms (fractional coordinates):
Tb (0.000, 0.000, 0.000)
Er (0.068, 0.637, 0.772)
Er (0.228, 0.932, 0.363)
Er (0.363, 0.228, 0.932)
Er (0.409, 0.409, 0.409)
Er (0.591, 0.591, 0.591)
Er (0.637, 0.772, 0.068)
Er (0.772, 0.068, 0.637)
Er (0.932, 0.363, 0.228)
Sc (0.058, 0.290, 0.613)
Sc (0.290, 0.613, 0.058)
Sc (0.387, 0.942, 0.710)
Sc (0.613, 0.058, 0.290)
Sc (0.710, 0.387, 0.942)
Sc (0.942, 0.710, 0.387)

The formation energy is 0.191 eV per atom. The magnetic moment comes out at 0.0 μB per formula unit. For the total energy, the calculation gives -5.0842 eV/atom. Its energy above the most stable polymorph in this dataset is 0.021 eV/atom. Its space group is R-3.

***

[4]
Crystalline Tb2Er2Sc5 at its relaxed geometry. Source: the Alexandria database, functional PBE.

Cell: 8.854 8.854 8.854 Å, 97.72 124.11 107.75°
Atoms (fractional coordinates):
Tb (0.000, 0.000, 0.000)
Tb (0.000, 0.500, 0.500)
Tb (0.017, 0.872, 0.645)
Tb (0.227, 0.372, 0.355)
Er (0.306, 0.038, 0.479)
Er (0.306, 0.326, 0.767)
Er (0.559, 0.538, 0.233)
Er (0.559, 0.826, 0.521)
Sc (0.051, 0.344, 0.906)
Sc (0.051, 0.645, 0.207)
Sc (0.290, 0.753, 0.037)
Sc (0.438, 0.145, 0.094)
Sc (0.438, 0.844, 0.793)
Sc (0.673, 0.361, 0.562)
Sc (0.673, 0.611, 0.812)
Sc (0.716, 0.253, 0.963)
Sc (0.799, 0.111, 0.438)
Sc (0.799, 0.861, 0.188)

The formation energy is 0.195 eV per atom. The magnetic moment comes out at 0.0 μB per formula unit. For the total energy, the calculation gives -5.3658 eV/atom. Its energy above the most stable polymorph in this dataset is 0.145 eV/atom. Its space group is Ima2.

***

[5]
Crystalline TbErSc2 at its relaxed geometry. Source: the Alexandria database, functional PBE.

Cell: 3.416 3.416 10.919 Å, 90.00 90.00 120.00°
Atoms (fractional coordinates):
Tb (0.000, 0.000, 0.000)
Er (0.000, 0.000, 0.500)
Sc (0.333, 0.667, 0.251)
Sc (0.667, 0.333, 0.749)

The formation energy is 0.043 eV per atom. The magnetic moment comes out at 0.0 μB per formula unit. For the total energy, the calculation gives -5.4212 eV/atom. Its energy above the most stable polymorph in this dataset is 0.000 eV/atom. Its space group is P-3m1.

***

[6]
Crystalline Tb3ErSc3 at its relaxed geometry. Source: the Alexandria database, functional PBE.

Cell: 9.219 9.219 5.456 Å, 90.00 90.00 120.00°
Atoms (fractional coordinates):
Tb (0.048, 0.246, 0.250)
Tb (0.198, 0.952, 0.250)
Tb (0.246, 0.198, 0.750)
Tb (0.754, 0.802, 0.250)
Tb (0.802, 0.048, 0.750)
Tb (0.952, 0.754, 0.750)
Er (0.333, 0.667, 0.250)
Er (0.667, 0.333, 0.750)
Sc (0.096, 0.482, 0.750)
Sc (0.386, 0.904, 0.750)
Sc (0.482, 0.386, 0.250)
Sc (0.518, 0.614, 0.750)
Sc (0.614, 0.096, 0.250)
Sc (0.904, 0.518, 0.250)

The formation energy is 0.029 eV per atom. The magnetic moment comes out at 0.1 μB per formula unit. For the total energy, the calculation gives -5.3203 eV/atom. Its energy above the most stable polymorph in this dataset is 0.000 eV/atom. Its space group is P6_3/m.

***

[7]
Crystalline TbEr14Sc at its relaxed geometry. Source: the Alexandria database, functional PBE.

Cell: 6.988 6.988 9.867 Å, 90.00 90.00 90.00°
Atoms (fractional coordinates):
Tb (0.000, 0.000, 0.000)
Er (0.000, 0.000, 0.500)
Er (0.000, 0.500, 0.000)
Er (0.000, 0.500, 0.500)
Er (0.252, 0.252, 0.249)
Er (0.252, 0.252, 0.751)
Er (0.252, 0.748, 0.249)
Er (0.252, 0.748, 0.751)
Er (0.500, 0.000, 0.000)
Er (0.500, 0.000, 0.500)
Er (0.500, 0.500, 0.500)
Er (0.748, 0.252, 0.249)
Er (0.748, 0.252, 0.751)
Er (0.748, 0.748, 0.249)
Er (0.748, 0.748, 0.751)
Sc (0.500, 0.500, 0.000)

The formation energy is 0.026 eV per atom. The magnetic moment comes out at 0.0 μB per formula unit. For the total energy, the calculation gives -4.6520 eV/atom. Its space group is P4/mmm.

***

[8]
Crystalline Tb2ErSc2 at its relaxed geometry. Source: the Alexandria database, functional PBE.

Cell: 7.856 7.856 7.856 Å, 138.23 88.33 106.46°
Atoms (fractional coordinates):
Tb (0.237, 0.161, 0.076)
Tb (0.415, 0.839, 0.576)
Tb (0.585, 0.161, 0.424)
Tb (0.763, 0.839, 0.924)
Er (0.105, 0.855, 0.250)
Er (0.895, 0.145, 0.750)
Sc (0.061, 0.447, 0.614)
Sc (0.333, 0.447, 0.886)
Sc (0.667, 0.553, 0.114)
Sc (0.939, 0.553, 0.386)

The formation energy is 0.188 eV per atom. The magnetic moment comes out at 0.0 μB per formula unit. For the total energy, the calculation gives -5.1092 eV/atom. Its energy above the most stable polymorph in this dataset is 0.031 eV/atom. Its space group is Imma.

***

[9]
Crystalline Tb5Er2Sc4 at its relaxed geometry. Source: the Alexandria database, functional PBE.

Cell: 6.739 6.739 10.019 Å, 118.84 118.84 59.10°
Atoms (fractional coordinates):
Tb (0.000, 0.000, 0.000)
Tb (0.112, 0.571, 0.333)
Tb (0.429, 0.888, 0.667)
Tb (0.571, 0.112, 0.333)
Tb (0.888, 0.429, 0.667)
Er (0.416, 0.416, 0.717)
Er (0.584, 0.584, 0.283)
Sc (0.091, 0.091, 0.365)
Sc (0.272, 0.272, 0.978)
Sc (0.728, 0.728, 0.022)
Sc (0.909, 0.909, 0.635)

The formation energy is 0.193 eV per atom. The magnetic moment comes out at 0.0 μB per formula unit. For the total energy, the calculation gives -5.0437 eV/atom. Its energy above the most stable polymorph in this dataset is 0.091 eV/atom. Its space group is C2/m.

***

[10]
Crystalline Tb2ErSc9 at its relaxed geometry. Source: the Alexandria database, functional PBE.

Cell: 10.094 10.094 10.094 Å, 36.85 36.85 36.85°
Atoms (fractional coordinates):
Tb (0.135, 0.135, 0.135)
Tb (0.865, 0.865, 0.865)
Er (0.000, 0.000, 0.000)
Sc (0.075, 0.594, 0.594)
Sc (0.335, 0.335, 0.335)
Sc (0.406, 0.406, 0.925)
Sc (0.406, 0.925, 0.406)
Sc (0.500, 0.500, 0.500)
Sc (0.594, 0.075, 0.594)
Sc (0.594, 0.594, 0.075)
Sc (0.665, 0.665, 0.665)
Sc (0.925, 0.406, 0.406)

The formation energy is 0.263 eV per atom. The magnetic moment comes out at 2.2 μB per formula unit. For the total energy, the calculation gives -5.6379 eV/atom. Its space group is R-3m.

***

[11]
Crystalline Tb2Er7Sc2 at its relaxed geometry. Source: the Alexandria database, functional PBE.

Cell: 10.427 10.427 10.427 Å, 160.22 66.35 117.39°
Atoms (fractional coordinates):
Tb (0.000, 0.000, 0.000)
Tb (0.693, 0.193, 0.500)
Er (0.010, 0.356, 0.654)
Er (0.307, 0.116, 0.191)
Er (0.355, 0.855, 0.500)
Er (0.436, 0.575, 0.861)
Er (0.702, 0.356, 0.346)
Er (0.714, 0.575, 0.139)
Er (0.925, 0.116, 0.809)
Sc (0.166, 0.858, 0.307)
Sc (0.551, 0.858, 0.693)

The formation energy is 0.166 eV per atom. The magnetic moment comes out at 0.0 μB per formula unit. For the total energy, the calculation gives -4.7309 eV/atom. Its energy above the most stable polymorph in this dataset is 0.000 eV/atom. Its space group is Imm2.

***

[12]
Crystalline Tb8Er3Sc at its relaxed geometry. Source: the Alexandria database, functional PBE.

Cell: 8.845 8.845 8.845 Å, 98.41 98.41 135.03°
Atoms (fractional coordinates):
Tb (0.088, 0.088, 0.682)
Tb (0.088, 0.407, 0.000)
Tb (0.407, 0.088, 0.000)
Tb (0.407, 0.407, 0.318)
Tb (0.593, 0.593, 0.682)
Tb (0.593, 0.912, 0.000)
Tb (0.912, 0.593, 0.000)
Tb (0.912, 0.912, 0.318)
Er (0.250, 0.750, 0.500)
Er (0.500, 0.500, 0.000)
Er (0.750, 0.250, 0.500)
Sc (0.000, 0.000, 0.000)

The formation energy is 0.777 eV per atom. The magnetic moment comes out at 0.0 μB per formula unit. For the total energy, the calculation gives -3.9782 eV/atom. Its space group is I4/mmm.